First-principles (PBEsol) data for a geometry-optimized CeCd structure, as listed in the Alexandria database.

a = 3.9847 Å, b = 3.9847 Å, c = 3.2690 Å
α = 90.00°, β = 90.00°, γ = 90.00°
Element x y z (fractional)
Ce1 0.0000 0.0000 0.0000
Cd1 0.5000 0.5000 0.5000

SG = P4/mmm
crystal system = tetragonal
formation enthalpy at 0 K = -0.0412 eV per atom



First-principles (PBEsol) data for a geometry-optimized MgZrHgTe2 structure, as listed in the Alexandria database.

a = 5.4107 Å, b = 5.4107 Å, c = 4.9007 Å
α = 90.00°, β = 90.00°, γ = 90.00°
Element x y z (fractional)
Mg1 0.0000 0.0000 0.0000
Zr1 0.5000 0.5000 0.5000
Hg1 0.0000 0.0000 0.5000
Te1 0.0000 0.5000 0.0000
Te2 0.5000 0.0000 0.0000

SG = P4/mmm
formation energy from raw total energies = 1.7 eV/f.u.
crystal system = tetragonal



First-principles (PBEsol) data for a geometry-optimized TaCrIn2S structure, as listed in the Alexandria database.

a = 5.0382 Å, b = 5.0382 Å, c = 4.0586 Å
α = 90.00°, β = 90.00°, γ = 90.00°
Element x y z (fractional)
Ta1 0.0000 0.0000 0.0000
Cr1 0.5000 0.5000 0.0000
In1 0.0000 0.5000 0.5000
In2 0.5000 0.0000 0.5000
S1 0.5000 0.5000 0.5000

SG = P4/mmm
formation energy from raw total energies = 4.5 eV/f.u.
crystal system = tetragonal



First-principles (PBEsol) data for a geometry-optimized YCu4Pt structure, as listed in the Alexandria database.

a = 4.9089 Å, b = 4.9089 Å, c = 4.9089 Å
α = 60.00°, β = 60.00°, γ = 60.00°
Element x y z (fractional)
Y1 0.0000 0.0000 0.0000
Cu1 0.3759 0.3759 0.3759
Cu2 0.3759 0.3759 0.8724
Cu3 0.3759 0.8724 0.3759
Cu4 0.8724 0.3759 0.3759
Pt1 0.7500 0.7500 0.7500

SG = F-43m
crystal system = cubic
formation enthalpy at 0 K = -0.3975 eV per atom